Y3Al2Si4 | PBE | optimized geometry

Computed properties:
formation energy from raw total energies: -0.57 eV/atom
uncorrected energy: -5.963 eV/atom
calculated volume: 19.807 A^3/atom
magnetic moment: 0.000 μB per formula unit

Unit cell a=10.7092 b=4.1816 c=8.1781 alpha=90.00 beta=103.21 gamma=90.00
With the nearest neighbours (Å) after each atom.
Space group C2/m (No. 12)
One atom of each set of equivalent atoms:
Y: 0.0000 0.0000 0.0000 x2  8 Si 3.11-3.12, 4 Al 3.12
Y: 0.1637 0.5000 0.6715 x4  8 Si 3.00-3.14, 4 Al 3.09-3.14
Al: 0.1138 0.5000 0.2774 x4  3 Si 2.41-2.42
Si: 0.0595 0.0000 0.3920 x4  1 Si 2.40, 2 Al 2.42
Si: 0.2206 0.5000 0.0484 x4  2 Si 2.37, 1 Al 2.41

---

HgCCl3 | PBE | optimized geometry

Computed properties:
formation energy from raw total energies: 1.32 eV/atom
relative energy among the computed polymorphs: 492 meV per atom
uncorrected energy: -1.694 eV/atom
calculated volume: 28.048 A^3/atom
magnetic moment: 1.267 μB per formula unit

Unit cell a=5.1954 b=5.1954 c=5.1954 alpha=90.00 beta=90.00 gamma=90.00
With the nearest neighbours (Å) after each atom.
Space group Pm-3m (No. 221)
One atom of each set of equivalent atoms:
Hg: 0.0000 0.0000 0.0000 x1  6 Cl 2.60
C: 0.5000 0.5000 0.5000 x1  12 Cl 3.67
Cl: 0.0000 0.0000 0.5000 x3  2 Hg 2.60

---

> Number 2 is which compound?

HgCCl3

---

> calculated volume of number 1 (Y3Al2Si4)?

19.807 A^3/atom